# K4As2H

A relaxed structure of K4As2H (PBE, the Alexandria database).

Lattice parameters (Å, degrees): 8.9475 8.9475 8.9475 36.64 36.64 36.64
Sites, in units of the cell vectors:
1 K 0.1318 0.1318 0.1318
2 K 0.2920 0.2920 0.2920
3 K 0.7080 0.7080 0.7080
4 K 0.8682 0.8682 0.8682
5 As 0.4272 0.4272 0.4272
6 As 0.5728 0.5728 0.5728
7 H 0.5000 0.5000 0.5000

Summary:
**Symmetry**: R-3m

=====

# K12As3H5

A relaxed structure of K12As3H5 (PBE, the Alexandria database).

Lattice parameters (Å, degrees): 15.2831 15.2831 15.2831 109.47 109.47 109.47
Sites, in units of the cell vectors:
1 K 0.0311 0.2111 0.1264
2 K 0.0311 0.3200 0.9047
3 K 0.0847 0.7111 0.6800
4 K 0.0847 0.8736 0.4047
5 K 0.0953 0.6264 0.4153
6 K 0.0953 0.9689 0.6800
7 K 0.1264 0.0311 0.2111
8 K 0.1264 0.5953 0.9153
9 K 0.1800 0.2111 0.5847
10 K 0.1800 0.4689 0.5953
11 K 0.2111 0.1264 0.0311
12 K 0.2111 0.5847 0.1800
13 K 0.2889 0.3200 0.9153
14 K 0.2889 0.4689 0.3736
15 K 0.3200 0.9047 0.0311
16 K 0.3200 0.9153 0.2889
17 K 0.3736 0.2889 0.4689
18 K 0.3736 0.5847 0.9047
19 K 0.4047 0.0847 0.8736
20 K 0.4047 0.8200 0.5311
21 K 0.4153 0.0953 0.6264
22 K 0.4153 0.8200 0.7889
23 K 0.4689 0.3736 0.2889
24 K 0.4689 0.5953 0.1800
25 K 0.5311 0.4047 0.8200
26 K 0.5311 0.6264 0.7111
27 K 0.5847 0.1800 0.2111
28 K 0.5847 0.9047 0.3736
29 K 0.5953 0.1800 0.4689
30 K 0.5953 0.9153 0.1264
31 K 0.6264 0.4153 0.0953
32 K 0.6264 0.7111 0.5311
33 K 0.6800 0.0847 0.7111
34 K 0.6800 0.0953 0.9689
35 K 0.7111 0.5311 0.6264
36 K 0.7111 0.6800 0.0847
37 K 0.7889 0.4153 0.8200
38 K 0.7889 0.8736 0.9689
39 K 0.8200 0.5311 0.4047
40 K 0.8200 0.7889 0.4153
41 K 0.8736 0.4047 0.0847
42 K 0.8736 0.9689 0.7889
43 K 0.9047 0.0311 0.3200
44 K 0.9047 0.3736 0.5847
45 K 0.9153 0.1264 0.5953
46 K 0.9153 0.2889 0.3200
47 K 0.9689 0.6800 0.0953
48 K 0.9689 0.7889 0.8736
49 As 0.1250 0.2500 0.3750
50 As 0.1250 0.3750 0.7500
51 As 0.2500 0.3750 0.1250
52 As 0.2500 0.8750 0.6250
53 As 0.3750 0.1250 0.2500
54 As 0.3750 0.7500 0.1250
55 As 0.6250 0.2500 0.8750
56 As 0.6250 0.8750 0.7500
57 As 0.7500 0.1250 0.3750
58 As 0.7500 0.6250 0.8750
59 As 0.8750 0.6250 0.2500
60 As 0.8750 0.7500 0.6250
61 H 0.0000 0.0000 0.0000
62 H 0.0000 0.0000 0.5000
63 H 0.0000 0.5000 0.0000
64 H 0.0000 0.5000 0.5000
65 H 0.1250 0.7500 0.8750
66 H 0.1250 0.8750 0.2500
67 H 0.2500 0.1250 0.8750
68 H 0.2500 0.6250 0.3750
69 H 0.3750 0.2500 0.6250
70 H 0.3750 0.6250 0.7500
71 H 0.5000 0.0000 0.0000
72 H 0.5000 0.0000 0.5000
73 H 0.5000 0.5000 0.0000
74 H 0.5000 0.5000 0.5000
75 H 0.6250 0.3750 0.2500
76 H 0.6250 0.7500 0.3750
77 H 0.7500 0.3750 0.6250
78 H 0.7500 0.8750 0.1250
79 H 0.8750 0.1250 0.7500
80 H 0.8750 0.2500 0.1250

Summary:
**Symmetry**: Ia-3d

=====

| no. | total energy (eV/f.u.) |
| --- | --- |
| 1 | -18.69 |
| 2 | -47.89 |